(1)
Computed, not measured: crystalline NaTi3Pb at its relaxed geometry at the PBE-GGA level of DFT.

extended XYZ file:
```
5
Lattice="5.3452 0.0000 0.0000 0.0000 5.3452 0.0000 0.0000 0.0000 5.3452" Properties=species:S:1:pos:R:3 pbc="T T T"
Pb 0.0000 0.0000 0.0000
Na 2.6726 2.6726 2.6726
Ti 0.0000 2.6726 0.0000
Ti 0.0000 0.0000 2.6726
Ti 2.6726 0.0000 0.0000
```

Values from the calculation:
For the magnetic moment, the calculation gives 1.35 μB/atom. The calculation puts the total DFT energy (no corrections) at -4.571 eV/atom. The excess energy over the best structure of this formula in the dataset comes out at 0 meV per atom. The formation energy comes out at 1.17 eV per atom.

=====

(2)
Computed, not measured: crystalline CdInSbI2 at its relaxed geometry at the PBE-GGA level of DFT.

extended XYZ file:
```
5
Lattice="6.1133 0.0000 0.0000 0.0000 6.1133 0.0000 0.0000 0.0000 5.6216" Properties=species:S:1:pos:R:3 pbc="T T T"
I 0.0000 3.0566 0.0000
I 3.0566 0.0000 0.0000
Sb 0.0000 0.0000 2.8108
Cd 0.0000 0.0000 0.0000
In 3.0566 3.0566 2.8108
```

Values from the calculation:
For the magnetic moment, the calculation gives 0.36 μB/atom. The calculation puts the total DFT energy (no corrections) at -2.078 eV/atom. The excess energy over the best structure of this formula in the dataset comes out at 0 meV per atom. The formation energy (no corrections) comes out at 0.10 eV per atom.

=====

(3)
Computed, not measured: crystalline K2Hg2O at its relaxed geometry at the PBE-GGA level of DFT.

extended XYZ file:
```
5
Lattice="3.9103 0.0000 0.8680 1.8588 3.4402 0.8680 -0.5050 -0.3011 11.5172" Properties=species:S:1:pos:R:3 pbc="T T T"
K 3.5697 2.1287 2.4022
K 1.6944 1.0104 10.8509
Hg 4.8192 2.8738 6.0154
Hg 0.4449 0.2653 7.2377
O 0.0000 0.0000 0.0000
```

Values from the calculation:
For the magnetic moment, the calculation gives 0.04 μB/atom. The calculation puts the total DFT energy (no corrections) at -2.159 eV/atom. The formation energy (no corrections) comes out at -0.61 eV per atom.

=====

(4)
Computed, not measured: crystalline LaNd5Tm6 at its relaxed geometry at the PBE-GGA level of DFT.

extended XYZ file:
```
12
Lattice="-0.1765 3.0229 4.1494 -6.8404 5.6885 -4.4375 -2.0630 -8.7466 3.1038" Properties=species:S:1:pos:R:3 pbc="T T T"
Tm -5.5053 0.0069 2.9385
Tm -2.0916 -2.8320 5.1529
Tm -5.2112 5.7717 -1.2485
Tm -1.8058 2.9397 0.9604
Tm -6.9883 2.7968 -2.3372
Tm -3.5747 -0.0421 -0.1228
Nd -1.9595 0.0368 3.0688
Nd -3.7141 -2.9270 1.9730
Nd -3.4202 2.8442 -2.2188
Nd -5.3659 2.8918 0.8427
Nd -7.1205 -0.0720 -0.2531
La 0.0000 0.0000 0.0000
```

Values from the calculation:
For the magnetic moment, the calculation gives 0.00 μB/atom. The calculation puts the total DFT energy (no corrections) at -4.611 eV/atom. The formation energy comes out at 0.02 eV per atom.